# CsFeRhF6

A geometry-optimized CsFeRhF6 structure (PBE with a Hubbard U, Alexandria via LeMat-Bulk).

Structure (POSCAR):
```
CsFeRhF6
1.0
5.5125 0.0000 0.0000
2.7546 4.7974 0.0000
0.0089 0.0047 6.5527
Cs Fe Rh F
1 1 1 6
Cartesian
0.0000 0.0000 0.0000
2.7561 1.6060 3.2763
5.5117 3.2115 3.2766
3.7988 3.0694 4.3550
4.7977 4.7640 2.1799
6.2250 4.7551 4.3811
4.5621 1.8159 2.1666
6.4613 1.8109 4.3793
7.2212 3.0788 2.1976
```

Properties
As for the space group: P1. The calculated volume is 173 Å³/cell. The calculation puts the total energy at -4.9598 eV per atom. Its crystal system is triclinic. For the size of the total moment, the calculation gives 4.171 Bohr magnetons per cell. The density of states at the Fermi level is 0.000 states/eV/cell.